[1]
## Sr4ZnCl (PBE-GGA)

Data for an optimized crystal structure of Sr4ZnCl.

CIF file:
```
data_Sr4ZnCl
_chemical_formula_sum 'Sr4 Zn1 Cl1'
_cell_length_a 7.6271
_cell_length_b 7.6271
_cell_length_c 7.6271
_cell_angle_alpha 60.00
_cell_angle_beta 60.00
_cell_angle_gamma 60.00
_space_group_name_H-M_alt 'P 1'
_space_group_IT_number 1
loop_
_space_group_symop_operation_xyz
'x,y,z'
loop_
_atom_site_label
_atom_site_fract_x
_atom_site_fract_y
_atom_site_fract_z
_atom_site_occupancy
Sr1 0.8726 0.3758 0.3758 1
Sr2 0.3758 0.3758 0.8726 1
Sr3 0.3758 0.8726 0.3758 1
Sr4 0.3758 0.3758 0.3758 1
Cl1 0.0000 0.0000 0.0000 1
Zn1 0.7500 0.7500 0.7500 1
```

Results
For the total magnetic moment, the calculation gives 0.00 μB per formula unit. The density of states at the Fermi level comes out at 8.9 states/eV/cell. The value obtained for the total DFT energy (no corrections) is -8.70 eV/f.u.

[2]
## SrZnCl2 (PBE-GGA)

Data for an optimized crystal structure of SrZnCl2.

CIF file:
```
data_SrZnCl2
_chemical_formula_sum 'Sr2 Zn2 Cl4'
_cell_length_a 7.1449
_cell_length_b 7.1449
_cell_length_c 8.9146
_cell_angle_alpha 66.38
_cell_angle_beta 66.38
_cell_angle_gamma 90.00
_space_group_name_H-M_alt 'P 1'
_space_group_IT_number 1
loop_
_space_group_symop_operation_xyz
'x,y,z'
loop_
_atom_site_label
_atom_site_fract_x
_atom_site_fract_y
_atom_site_fract_z
_atom_site_occupancy
Cl1 0.7259 0.1250 0.2500 1
Cl2 0.0241 0.6250 0.2500 1
Cl3 0.3750 0.2741 0.7500 1
Cl4 0.8750 0.9759 0.7500 1
Zn1 0.2500 0.7500 0.5000 1
Zn2 0.5000 0.5000 0.0000 1
Sr1 0.7500 0.2500 0.5000 1
Sr2 0.0000 0.0000 0.0000 1
```

Results
For the total magnetic moment, the calculation gives 0.00 μB per formula unit. The density of states at the Fermi level comes out at 0.0 states/eV/cell. The value obtained for the total DFT energy (no corrections) is -12.29 eV/f.u. For the polymorph energy (0 for the lowest one), the calculation gives 159 meV/atom.

[3]
## SrZnCl2 (PBE-GGA)

Data for an optimized crystal structure of SrZnCl2.

CIF file:
```
data_SrZnCl2
_chemical_formula_sum 'Sr1 Zn1 Cl2'
_cell_length_a 8.6808
_cell_length_b 8.6808
_cell_length_c 8.6808
_cell_angle_alpha 27.93
_cell_angle_beta 27.93
_cell_angle_gamma 27.93
_space_group_name_H-M_alt 'P 1'
_space_group_IT_number 1
loop_
_space_group_symop_operation_xyz
'x,y,z'
loop_
_atom_site_label
_atom_site_fract_x
_atom_site_fract_y
_atom_site_fract_z
_atom_site_occupancy
Cl1 0.8862 0.8862 0.8862 1
Cl2 0.1138 0.1138 0.1138 1
Zn1 0.5000 0.5000 0.5000 1
Sr1 0.0000 0.0000 0.0000 1
```

Results
For the total magnetic moment, the calculation gives 0.00 μB per formula unit. The density of states at the Fermi level comes out at 3.9 states/eV/cell. The value obtained for the total DFT energy (no corrections) is -9.68 eV/f.u. For the polymorph energy (0 for the lowest one), the calculation gives 813 meV/atom.

[4]
## SrZnCl (PBE-GGA)

Data for an optimized crystal structure of SrZnCl.

CIF file:
```
data_SrZnCl
_chemical_formula_sum 'Sr1 Zn1 Cl1'
_cell_length_a 5.1592
_cell_length_b 5.1592
_cell_length_c 5.1592
_cell_angle_alpha 60.00
_cell_angle_beta 60.00
_cell_angle_gamma 60.00
_space_group_name_H-M_alt 'P 1'
_space_group_IT_number 1
loop_
_space_group_symop_operation_xyz
'x,y,z'
loop_
_atom_site_label
_atom_site_fract_x
_atom_site_fract_y
_atom_site_fract_z
_atom_site_occupancy
Cl1 0.0000 0.0000 0.0000 1
Sr1 0.5000 0.5000 0.5000 1
Zn1 0.7500 0.7500 0.7500 1
```

Results
For the total magnetic moment, the calculation gives 0.00 μB per formula unit. The density of states at the Fermi level comes out at 1.6 states/eV/cell. The value obtained for the total DFT energy (no corrections) is -6.41 eV/f.u. For the polymorph energy (0 for the lowest one), the calculation gives 395 meV/atom.

[5]
## SrZnCl (PBE-GGA)

Data for an optimized crystal structure of SrZnCl.

CIF file:
```
data_SrZnCl
_chemical_formula_sum 'Sr2 Zn2 Cl2'
_cell_length_a 4.3851
_cell_length_b 4.3882
_cell_length_c 14.2317
_cell_angle_alpha 90.00
_cell_angle_beta 90.00
_cell_angle_gamma 119.98
_space_group_name_H-M_alt 'P 1'
_space_group_IT_number 1
loop_
_space_group_symop_operation_xyz
'x,y,z'
loop_
_atom_site_label
_atom_site_fract_x
_atom_site_fract_y
_atom_site_fract_z
_atom_site_occupancy
Cl1 0.2790 0.5580 0.7558 1
Cl2 0.2790 0.5580 0.2442 1
Sr1 0.6122 0.2244 0.6523 1
Sr2 0.6122 0.2244 0.3477 1
Zn1 0.6055 0.2110 0.0000 1
Zn2 0.2788 0.5575 0.5000 1
```

Results
For the total magnetic moment, the calculation gives 0.00 μB per formula unit. The density of states at the Fermi level comes out at 2.1 states/eV/cell. The value obtained for the total DFT energy (no corrections) is -7.60 eV/f.u. For the polymorph energy (0 for the lowest one), the calculation gives 0 meV/atom.

[6]
## SrZnCl2 (PBE-GGA)

Data for an optimized crystal structure of SrZnCl2.

CIF file:
```
data_SrZnCl2
_chemical_formula_sum 'Sr1 Zn1 Cl2'
_cell_length_a 6.1048
_cell_length_b 6.1048
_cell_length_c 6.1048
_cell_angle_alpha 137.62
_cell_angle_beta 137.62
_cell_angle_gamma 61.48
_space_group_name_H-M_alt 'P 1'
_space_group_IT_number 1
loop_
_space_group_symop_operation_xyz
'x,y,z'
loop_
_atom_site_label
_atom_site_fract_x
_atom_site_fract_y
_atom_site_fract_z
_atom_site_occupancy
Cl1 0.0000 0.0000 0.0000 1
Cl2 0.2500 0.7500 0.5000 1
Sr1 0.5000 0.5000 0.0000 1
Zn1 0.7500 0.2500 0.5000 1
```

Results
For the total magnetic moment, the calculation gives 0.00 μB per formula unit. The value obtained for the total DFT energy (no corrections) is -11.91 eV/f.u. For the polymorph energy (0 for the lowest one), the calculation gives 255 meV/atom.

[7]
## SrZnCl2 (PBE-GGA)

Data for an optimized crystal structure of SrZnCl2.

CIF file:
```
data_SrZnCl2
_chemical_formula_sum 'Sr1 Zn1 Cl2'
_cell_length_a 3.6988
_cell_length_b 3.6987
_cell_length_c 9.8105
_cell_angle_alpha 90.00
_cell_angle_beta 90.00
_cell_angle_gamma 90.00
_space_group_name_H-M_alt 'P 1'
_space_group_IT_number 1
loop_
_space_group_symop_operation_xyz
'x,y,z'
loop_
_atom_site_label
_atom_site_fract_x
_atom_site_fract_y
_atom_site_fract_z
_atom_site_occupancy
Cl1 0.0000 0.0000 0.4127 1
Cl2 0.0000 0.0000 0.0873 1
Sr1 0.5000 0.5000 0.2500 1
Zn1 0.5000 0.5000 0.7500 1
```

Results
For the total magnetic moment, the calculation gives 0.00 μB per formula unit. The density of states at the Fermi level comes out at 0.1 states/eV/cell. The value obtained for the total DFT energy (no corrections) is -12.41 eV/f.u. For the polymorph energy (0 for the lowest one), the calculation gives 130 meV/atom.

[8]
## SrZnCl4 (PBE-GGA)

Data for an optimized crystal structure of SrZnCl4.

CIF file:
```
data_SrZnCl4
_chemical_formula_sum 'Sr2 Zn2 Cl8'
_cell_length_a 8.6692
_cell_length_b 8.6692
_cell_length_c 8.6692
_cell_angle_alpha 135.53
_cell_angle_beta 135.53
_cell_angle_gamma 64.71
_space_group_name_H-M_alt 'P 1'
_space_group_IT_number 1
loop_
_space_group_symop_operation_xyz
'x,y,z'
loop_
_atom_site_label
_atom_site_fract_x
_atom_site_fract_y
_atom_site_fract_z
_atom_site_occupancy
Sr1 0.8750 0.6250 0.7500 1
Sr2 0.1250 0.3750 0.2500 1
Zn1 0.3750 0.1250 0.7500 1
Zn2 0.6250 0.8750 0.2500 1
Cl1 0.7155 0.3612 0.1651 1
Cl2 0.2845 0.6388 0.8349 1
Cl3 0.8040 0.9496 0.6651 1
Cl4 0.4496 0.7845 0.6456 1
Cl5 0.1960 0.0504 0.3349 1
Cl6 0.8612 0.6960 0.1456 1
Cl7 0.1388 0.3040 0.8544 1
Cl8 0.5504 0.2155 0.3544 1
```

Results
For the total magnetic moment, the calculation gives 0.00 μB per formula unit. The density of states at the Fermi level comes out at 0.0 states/eV/cell. The value obtained for the total DFT energy (no corrections) is -21.16 eV/f.u. For the polymorph energy (0 for the lowest one), the calculation gives 3 meV/atom.

| no. | formation energy without anion corrections (eV/atom) |
| --- | --- |
| 1 | 0.19 |
| 2 | -1.41 |
| 3 | -0.76 |
| 4 | -0.54 |
| 5 | -0.93 |
| 6 | -1.31 |
| 7 | -1.44 |
| 8 | -1.80 |